GGA-PBE BaBeZn2Se, relaxed; calculated total energy = -7.76 eV per cell; space group = P4/mmm; magnetization = 0.00 μB per cell; formation energy from raw total energies = 0.785 eV/atom
1.0
7.056 0.000 0.000
0.000 7.056 0.000
0.000 0.000 5.982
Ba Be Zn Se
1 1 2 1
Direct
0.000 0.000 0.000
0.500 0.500 0.500
0.000 0.500 0.000
0.500 0.000 0.000
0.000 0.000 0.500

=====

GGA-PBE BaBeSi2, relaxed; calculated total energy = -13.96 eV per cell; space group = F-43m; magnetization = 0.00 μB per cell; formation energy from raw total energies = 0.633 eV/atom
1.0
0.000 3.483 3.483
3.483 0.000 3.483
3.483 3.483 0.000
Ba Be Si
1 1 2
Direct
0.000 0.000 0.000
0.250 0.250 0.250
0.500 0.500 0.500
0.750 0.750 0.750

=====

GGA-PBE BaBeSi, relaxed; calculated total energy = -11.54 eV per cell; space group = P-6m2; magnetization = 0.00 μB per cell; formation energy from raw total energies = -0.156 eV/atom
1.0
4.118 0.000 0.000
-2.059 3.566 0.000
0.000 0.000 4.948
Ba Be Si
1 1 1
Direct
0.000 0.000 0.000
0.667 0.333 0.500
0.333 0.667 0.500

=====

GGA-PBE BaBeSi2, relaxed; calculated total energy = -33.48 eV per cell; space group = I4_1/amd; magnetization = 0.00 μB per cell; formation energy from raw total energies = -0.061 eV/atom
1.0
-2.501 2.501 7.645
2.501 -2.501 7.645
2.501 2.501 -7.645
Ba Be Si
2 2 4
Direct
0.375 0.625 0.750
0.625 0.375 0.250
0.125 0.875 0.250
0.875 0.125 0.750
0.000 0.000 0.000
0.000 0.000 0.500
0.000 0.500 0.000
0.500 0.000 0.500

=====

GGA-PBE BaBeSi2, relaxed; calculated total energy = -16.78 eV per cell; space group = C2/m; magnetization = 0.00 μB per cell; formation energy from raw total energies = -0.071 eV/atom
1.0
3.373 -2.095 0.000
3.373 2.095 0.000
-2.431 0.000 5.985
Ba Be Si
1 1 2
Direct
0.000 0.000 0.000
0.500 0.500 0.500
0.199 0.199 0.605
0.801 0.801 0.395

=====

GGA-PBE BaBeSi2, relaxed; calculated total energy = -16.47 eV per cell; space group = Pm; magnetization = 0.00 μB per cell; formation energy from raw total energies = 0.006 eV/atom
1.0
4.425 0.000 0.000
0.000 3.822 0.000
-1.101 0.000 5.550
Ba Be Si
1 1 2
Direct
0.000 0.000 0.000
0.134 0.500 0.508
0.401 0.000 0.581
0.625 0.500 0.400